No. 1
Entry from Alexandria via LeMat-Bulk: a relaxed structure of HfCrSI2 (PBE).

Computed properties:
Total energy, eV/atom: -4.63

Geometry as CIF:
```
data_HfCrSI2
_chemical_formula_sum 'Hf1 Cr1 S1 I2'
_space_group_name_H-M_alt 'P 4/m m m'
_space_group_IT_number 123
_space_group_name_Hall '-P 4 2'
_cell_length_a 4.9447
_cell_length_b 4.9447
_cell_length_c 5.2355
_cell_angle_alpha 90.00
_cell_angle_beta 90.00
_cell_angle_gamma 90.00
loop_
_atom_site_label
_atom_site_type_symbol
_atom_site_fract_x
_atom_site_fract_y
_atom_site_fract_z
_atom_site_occupancy
Hf1 Hf 0.0000 0.0000 0.0000 1
Cr1 Cr 0.0000 0.0000 0.5000 1
S1 S 0.5000 0.5000 0.0000 1
I1 I 0.0000 0.5000 0.5000 1
```


No. 2
Entry from Alexandria via LeMat-Bulk: a relaxed structure of HfCrSbI2 (PBE).

Computed properties:
Excess energy over the best structure of this formula in the dataset, meV/atom: 287

Geometry as CIF:
```
data_HfCrSbI2
_chemical_formula_sum 'Hf1 Cr1 Sb1 I2'
_space_group_name_H-M_alt 'P 4/m m m'
_space_group_IT_number 123
_space_group_name_Hall '-P 4 2'
_cell_length_a 5.2470
_cell_length_b 5.2470
_cell_length_c 5.4529
_cell_angle_alpha 90.00
_cell_angle_beta 90.00
_cell_angle_gamma 90.00
loop_
_atom_site_label
_atom_site_type_symbol
_atom_site_fract_x
_atom_site_fract_y
_atom_site_fract_z
_atom_site_occupancy
Hf1 Hf 0.0000 0.0000 0.0000 1
Cr1 Cr 0.5000 0.5000 0.5000 1
Sb1 Sb 0.5000 0.5000 0.0000 1
I1 I 0.0000 0.5000 0.5000 1
```


No. 3
Entry from Alexandria via LeMat-Bulk: a relaxed structure of HfCrSbI2 (PBE).

Computed properties:
Excess energy over the best structure of this formula in the dataset, meV/atom: 0

Geometry as CIF:
```
data_HfCrSbI2
_chemical_formula_sum 'Hf1 Cr1 Sb1 I2'
_space_group_name_H-M_alt 'P 4/m m m'
_space_group_IT_number 123
_space_group_name_Hall '-P 4 2'
_cell_length_a 5.6067
_cell_length_b 5.6067
_cell_length_c 5.7157
_cell_angle_alpha 90.00
_cell_angle_beta 90.00
_cell_angle_gamma 90.00
loop_
_atom_site_label
_atom_site_type_symbol
_atom_site_fract_x
_atom_site_fract_y
_atom_site_fract_z
_atom_site_occupancy
Hf1 Hf 0.0000 0.0000 0.0000 1
Cr1 Cr 0.5000 0.5000 0.5000 1
Sb1 Sb 0.0000 0.0000 0.5000 1
I1 I 0.0000 0.5000 0.0000 1
```


No. 4
Entry from Alexandria via LeMat-Bulk: a relaxed structure of HfCrSbI2 (PBE).

Computed properties:
Excess energy over the best structure of this formula in the dataset, meV/atom: 301

Geometry as CIF:
```
data_HfCrSbI2
_chemical_formula_sum 'Hf1 Cr1 Sb1 I2'
_space_group_name_H-M_alt 'P 4/m m m'
_space_group_IT_number 123
_space_group_name_Hall '-P 4 2'
_cell_length_a 5.1466
_cell_length_b 5.1466
_cell_length_c 5.3378
_cell_angle_alpha 90.00
_cell_angle_beta 90.00
_cell_angle_gamma 90.00
loop_
_atom_site_label
_atom_site_type_symbol
_atom_site_fract_x
_atom_site_fract_y
_atom_site_fract_z
_atom_site_occupancy
Hf1 Hf 0.0000 0.0000 0.0000 1
Cr1 Cr 0.0000 0.0000 0.5000 1
Sb1 Sb 0.5000 0.5000 0.0000 1
I1 I 0.0000 0.5000 0.5000 1
```


No. 5
Entry from Alexandria via LeMat-Bulk: a relaxed structure of Hf2TaCrI (PBE).

Computed properties:
Total energy, eV/atom: -6.67

Geometry as CIF:
```
data_Hf2TaCrI
_chemical_formula_sum 'Hf2 Ta1 Cr1 I1'
_space_group_name_H-M_alt 'P 4/m m m'
_space_group_IT_number 123
_space_group_name_Hall '-P 4 2'
_cell_length_a 5.1421
_cell_length_b 5.1421
_cell_length_c 5.2083
_cell_angle_alpha 90.00
_cell_angle_beta 90.00
_cell_angle_gamma 90.00
loop_
_atom_site_label
_atom_site_type_symbol
_atom_site_fract_x
_atom_site_fract_y
_atom_site_fract_z
_atom_site_occupancy
Hf1 Hf 0.0000 0.5000 0.0000 1
Ta1 Ta 0.0000 0.0000 0.0000 1
Cr1 Cr 0.5000 0.5000 0.5000 1
I1 I 0.0000 0.0000 0.5000 1
```


No. 6
Entry from Alexandria via LeMat-Bulk: a relaxed structure of Hf2CrTeI (PBE).

Computed properties:
Total energy, eV/atom: -5.66

Geometry as CIF:
```
data_Hf2CrTeI
_chemical_formula_sum 'Hf2 Cr1 Te1 I1'
_space_group_name_H-M_alt 'P 4/m m m'
_space_group_IT_number 123
_space_group_name_Hall '-P 4 2'
_cell_length_a 5.2935
_cell_length_b 5.2935
_cell_length_c 4.8082
_cell_angle_alpha 90.00
_cell_angle_beta 90.00
_cell_angle_gamma 90.00
loop_
_atom_site_label
_atom_site_type_symbol
_atom_site_fract_x
_atom_site_fract_y
_atom_site_fract_z
_atom_site_occupancy
Hf1 Hf 0.0000 0.5000 0.0000 1
Cr1 Cr 0.0000 0.0000 0.5000 1
Te1 Te 0.5000 0.5000 0.5000 1
I1 I 0.0000 0.0000 0.0000 1
```


What did the first record say?
Entry from Alexandria via LeMat-Bulk: a relaxed structure of HfCrSI2 (PBE).

Computed properties:
Total energy, eV/atom: -4.63

Geometry as CIF:
```
data_HfCrSI2
_chemical_formula_sum 'Hf1 Cr1 S1 I2'
_space_group_name_H-M_alt 'P 4/m m m'
_space_group_IT_number 123
_space_group_name_Hall '-P 4 2'
_cell_length_a 4.9447
_cell_length_b 4.9447
_cell_length_c 5.2355
_cell_angle_alpha 90.00
_cell_angle_beta 90.00
_cell_angle_gamma 90.00
loop_
_atom_site_label
_atom_site_type_symbol
_atom_site_fract_x
_atom_site_fract_y
_atom_site_fract_z
_atom_site_occupancy
Hf1 Hf 0.0000 0.0000 0.0000 1
Cr1 Cr 0.0000 0.0000 0.5000 1
S1 S 0.5000 0.5000 0.0000 1
I1 I 0.0000 0.5000 0.5000 1
```